A relaxed structure of Np2UPt. Source: Alexandria, functional PBE-GGA.

Cell lengths 3.615, 3.615, 8.345 Å; angles 77.49, 77.49, 60.00 degrees
Each line ends with the local moment (μB).
Element x y z (fractional)
Pt1 0.000 0.000 0.000  -0.05
Np1 0.892 0.892 0.323  0.79
U1 0.500 0.500 0.500  0.01
Np2 0.108 0.108 0.677  0.79

space group: R-3m, No. 166
calculated formation energy: 691 meV per atom